Here is a relaxed LiAc2CoO5 crystal from the Alexandria database. Energies are from GGA+U.

Values from the calculation:
The uncorrected energy comes out at -6.711 eV/atom. The space-group type is P4/mbm.

Cell lengths 5.6423, 7.1666, 7.1666 Å; angles 90.00, 90.00, 90.00 degrees
Last column: magnetic moment on the atom in μB.
Fractional coordinates of all 18 atoms:
Ac  0.5000  0.1809  0.3191  0.00
Ac  0.5000  0.6809  0.1809  0.00
Ac  0.5000  0.3191  0.8191  0.00
Ac  0.5000  0.8191  0.6809  0.00
Co  0.0000  0.0000  0.5000  1.89
Co  0.0000  0.5000  0.0000  1.89
O  0.7681  0.8728  0.3728  0.01
O  0.2319  0.1272  0.6272  0.01
O  0.2319  0.8728  0.3728  0.01
O  0.2319  0.3728  0.1272  0.01
O  0.7681  0.1272  0.6272  0.01
O  0.7681  0.3728  0.1272  0.01
O  0.5000  0.5000  0.5000  0.01
O  0.2319  0.6272  0.8728  0.01
O  0.7681  0.6272  0.8728  0.01
O  0.5000  0.0000  0.0000  0.01
Li  0.0000  0.0000  0.0000  0.00
Li  0.0000  0.5000  0.5000  0.00